[1]
Entry from Alexandria: a relaxed structure of Pm7Y12Zr (PBE).

The formation energy is 0.26 eV/atom. The value obtained for the magnetic moment is 0.0 μB per formula unit.

a b c (Å): 12.7256 12.7256 14.1758
angles (deg): 90.00 90.00 120.00
Closest atoms and distances in Å follow each position.
Space group R-3 (No. 148, hexagonal axes)
Symmetry-distinct sites (fractional):
Pm: 0.0000 0.0000 0.0000 x3  6 Y 3.00
Pm: 0.0582 0.8701 0.3257 x18  1 Zr 3.26, 4 Y 3.33-3.63, 1 Pm 3.34
Y: 0.0188 0.5827 0.2235 x18  5 Pm 3.46-3.82, 4 Y 3.47-3.51, 1 Zr 3.68
Y: 0.0646 0.2238 0.8873 x18  2 Pm 3.00-3.33, 1 Y 3.10
Zr: 0.0000 0.0000 0.5000 x3  6 Pm 3.26

---

[2]
Entry from Alexandria: a relaxed structure of TaTcSeBr2 (PBE).

For the raw formation energy, the calculation gives 3.9 eV/f.u. For the offset from the most stable computed form, the calculation gives 0 meV/atom. The value obtained for the magnetic moment is 5.3 μB per formula unit.

a b c (Å): 5.1583 5.1583 5.0544
angles (deg): 90.00 90.00 90.00
Closest atoms and distances in Å follow each position.
Space group P4/mmm (No. 123)
Symmetry-distinct sites (fractional):
Ta: 0.0000 0.0000 0.0000 x1  2 Se 2.53, 4 Br 2.58
Tc: 0.5000 0.5000 0.5000 x1  8 Br 3.61, 4 Se 3.65
Se: 0.0000 0.0000 0.5000 x1  2 Ta 2.53
Br: 0.0000 0.5000 0.0000 x2  2 Ta 2.58

---

[3]
Entry from Alexandria: a relaxed structure of NdEu2Al (PBE).

For the offset from the most stable computed form, the calculation gives 15 meV/atom. The formation energy is -0.06 eV/atom. The value obtained for the magnetic moment is 14.4 μB per formula unit.

a b c (Å): 3.7457 3.7457 9.1886
angles (deg): 90.00 90.00 90.00
Closest atoms and distances in Å follow each position.
Space group P4/mmm (No. 123)
Symmetry-distinct sites (fractional):
Nd: 0.0000 0.0000 0.0000 x1  4 Nd 3.75, 8 Eu 3.80
Eu: 0.5000 0.5000 0.2968 x2  4 Al 3.24
Al: 0.0000 0.0000 0.5000 x1  8 Eu 3.24

---

[4]
Entry from Alexandria: a relaxed structure of Pr4Fe3Si4Ru (PBE).

For the raw formation energy, the calculation gives -7.2 eV/f.u. The value obtained for the magnetic moment is 0.3 μB per formula unit.

a b c (Å): 4.1061 4.1061 14.1503
angles (deg): 90.00 90.00 90.00
Closest atoms and distances in Å follow each position.
Space group P-4m2 (No. 115)
Symmetry-distinct sites (fractional):
Pr: 0.0000 0.5000 0.1552 x2  4 Fe 3.01, 5 Si 3.10-3.32
Pr: 0.0000 0.5000 0.6616 x2  2 Fe 3.07, 2 Ru 3.07, 4 Si 3.10
Fe: 0.0000 0.0000 0.0000 x1  4 Si 2.34
Fe: 0.5000 0.5000 0.0000 x1  4 Si 2.34
Fe: 0.5000 0.5000 0.5000 x1  4 Si 2.38
Si: 0.0000 0.5000 0.4153 x2  2 Fe 2.38, 2 Ru 2.38
Si: 0.0000 0.5000 0.9209 x2  4 Fe 2.34
Ru: 0.0000 0.0000 0.5000 x1  4 Si 2.38

---

[5]
Entry from Alexandria: a relaxed structure of CuAs (PBE).

The formation energy is 0.18 eV/atom. The value obtained for the magnetic moment is 0.0 μB per formula unit.

a b c (Å): 7.9756 7.9756 3.8617
angles (deg): 90.00 90.00 120.00
Closest atoms and distances in Å follow each position.
Space group P6_3/m (No. 176)
Symmetry-distinct sites (fractional):
Cu: 0.1205 0.5042 0.2500 x6  4 As 2.38-2.61, 2 Cu 2.66
As: 0.0313 0.7478 0.2500 x6  4 Cu 2.38-2.61

---

[6]
Entry from Alexandria: a relaxed structure of Ni4SbW (PBE).

For the raw formation energy, the calculation gives 1.0 eV/f.u. The value obtained for the magnetic moment is 0.7 μB per formula unit.

a b c (Å): 6.7949 6.7949 6.7949
angles (deg): 90.00 90.00 90.00
Closest atoms and distances in Å follow each position.
Space group F-43m (No. 216)
Symmetry-distinct sites (fractional):
Ni: 0.1240 0.1240 0.3760 x16  6 Ni 2.38-2.42
Sb: 0.0000 0.0000 0.0000 x4  12 Ni 2.82, 4 W 2.94
W: 0.2500 0.2500 0.7500 x4  12 Ni 2.81, 4 Sb 2.94

---

[7]
Entry from Alexandria: a relaxed structure of DyBeInCu (PBE).

The formation energy is -0.15 eV/atom. The value obtained for the magnetic moment is 0.0 μB per formula unit.

a b c (Å): 6.5493 6.5493 6.5493
angles (deg): 90.00 90.00 90.00
Closest atoms and distances in Å follow each position.
Space group F-43m (No. 216)
Symmetry-distinct sites (fractional):
Dy: 0.0000 0.0000 0.0000 x4  4 Be 2.84, 4 Cu 2.84
Be: 0.2500 0.2500 0.2500 x4  4 In 2.84, 4 Dy 2.84
In: 0.0000 0.0000 0.5000 x4  4 Be 2.84, 4 Cu 2.84
Cu: 0.2500 0.2500 0.7500 x4  4 In 2.84, 4 Dy 2.84

---

[8]
Entry from Alexandria: a relaxed structure of Sc12In3Ir (PBE).

The formation energy is -0.33 eV/atom. The value obtained for the magnetic moment is 3.3 μB per formula unit.

a b c (Å): 4.5172 4.5172 17.4543
angles (deg): 90.00 90.00 90.00
Closest atoms and distances in Å follow each position.
Space group P4/mmm (No. 123)
Symmetry-distinct sites (fractional):
Sc: 0.0000 0.0000 0.0000 x1  8 Sc 2.92, 4 Ir 3.19
Sc: 0.0000 0.0000 0.2399 x2  4 In 3.19, 8 Sc 3.20-3.25
Sc: 0.0000 0.0000 0.5000 x1  4 In 3.19, 8 Sc 3.20
Sc: 0.0000 0.5000 0.1063 x4  2 Ir 2.92, 8 Sc 2.92-3.25, 2 In 3.27
Sc: 0.0000 0.5000 0.3701 x4  4 In 3.18-3.20, 8 Sc 3.19-3.20
In: 0.5000 0.5000 0.2420 x2  12 Sc 3.18-3.27
In: 0.5000 0.5000 0.5000 x1  12 Sc 3.19-3.20
Ir: 0.5000 0.5000 0.0000 x1  12 Sc 2.92-3.19

---

[9]
Entry from Alexandria: a relaxed structure of Lu2TiCo (PBE).

For the offset from the most stable computed form, the calculation gives 378 meV/atom. The formation energy is 0.38 eV/atom. The value obtained for the magnetic moment is 1.7 μB per formula unit.

a b c (Å): 3.2419 3.2419 28.9889
angles (deg): 90.00 90.00 120.00
Closest atoms and distances in Å follow each position.
Space group R-3m (No. 166, hexagonal axes)
Symmetry-distinct sites (fractional):
Lu: 0.0000 0.0000 0.1020 x6  3 Co 2.65, 1 Ti 2.96
Ti: 0.0000 0.0000 0.0000 x3  2 Lu 2.96, 6 Ti 3.24
Co: 0.0000 0.0000 0.5000 x3  6 Lu 2.65

---

[10]
Entry from Alexandria: a relaxed structure of Li2Ag2Mo (PBE).

For the offset from the most stable computed form, the calculation gives 0 meV/atom. The formation energy is 0.25 eV/atom. The value obtained for the magnetic moment is 0.9 μB per formula unit.

a b c (Å): 7.4803 7.4803 2.7205
angles (deg): 90.00 90.00 90.00
Closest atoms and distances in Å follow each position.
Space group P4/mbm (No. 127)
Symmetry-distinct sites (fractional):
Li: 0.1203 0.3797 0.0000 x4  6 Ag 2.50-2.67, 3 Li 2.55-2.72
Ag: 0.1813 0.6813 0.5000 x4  6 Li 2.50-2.67, 2 Ag 2.72
Mo: 0.0000 0.0000 0.0000 x2  2 Mo 2.72, 4 Li 2.98

---

[11]
Entry from Alexandria: a relaxed structure of Mn2SeCl (PBE).

For the raw formation energy, the calculation gives 2.2 eV/f.u. For the offset from the most stable computed form, the calculation gives 882 meV/atom. The value obtained for the magnetic moment is 0.0 μB per formula unit.

a b c (Å): 5.9411 5.9411 5.9411
angles (deg): 90.00 90.00 90.00
Closest atoms and distances in Å follow each position.
Space group Fm-3m (No. 225)
Symmetry-distinct sites (fractional):
Mn: 0.2500 0.2500 0.2500 x8  4 Cl 2.57, 4 Se 2.57
Se: 0.0000 0.0000 0.0000 x4  8 Mn 2.57
Cl: 0.0000 0.0000 0.5000 x4  8 Mn 2.57

---

[12]
Entry from Alexandria: a relaxed structure of Cu2WAu (PBE).

For the offset from the most stable computed form, the calculation gives 117 meV/atom. The formation energy is 0.31 eV/atom. The value obtained for the magnetic moment is 0.0 μB per formula unit.

a b c (Å): 2.6300 4.2582 5.3324
angles (deg): 90.00 90.09 90.00
Closest atoms and distances in Å follow each position.
Space group P2/m (No. 10)
Symmetry-distinct sites (fractional):
Cu: 0.0023 0.0000 0.2233 x2  3 Cu 2.38-2.63, 2 Au 2.59
W: 0.5000 0.5000 0.0000 x1  2 W 2.63, 8 Cu 2.77
Au: 0.0000 0.5000 0.5000 x1  4 Cu 2.59, 2 Au 2.63